The following is a PBEsol calculation of BaCaTe3 after structural relaxation, from Alexandria.

Its electronic total energy is -19.3 eV/f.u. The total magnetization is 0.0 μB per cell. The energy relative to the elements, uncorrected comes out at -425 kJ/mol of formula units.

It has space group Pm-3m (No. 221), with a = 5.768 Å, b = 5.768 Å, c = 5.768 Å, α = 90.00°, β = 90.00° and γ = 90.00°. The asymmetric unit holds Ba at (0.000, 0.000, 0.000), Ca at (0.500, 0.500, 0.500) and Te at (0.000, 0.500, 0.500).

***

The following is a PBEsol calculation of Ba2CaTiTe after structural relaxation, from Alexandria.

Its electronic total energy is -17.7 eV/f.u. The total magnetization is 1.2 μB per cell. The energy relative to the elements, uncorrected comes out at 57 kJ/mol of formula units.

It has space group P4/mmm (No. 123), with a = 6.203 Å, b = 6.203 Å, c = 5.240 Å, α = 90.00°, β = 90.00° and γ = 90.00°. The asymmetric unit holds Ba at (0.000, 0.500, 0.000), Ca at (0.000, 0.000, 0.500), Ti at (0.500, 0.500, 0.000) and Te at (0.500, 0.500, 0.500).

***

The following is a PBEsol calculation of BaCaTl4 after structural relaxation, from Alexandria.

Its electronic total energy is -16.6 eV/f.u. The total magnetization is 0.0 μB per cell. The value obtained for the formation energy is -0.30 eV/atom.

It has space group F-43m (No. 216), with a = 9.009 Å, b = 9.009 Å, c = 9.009 Å, α = 90.00°, β = 90.00° and γ = 90.00°. The asymmetric unit holds Ba at (0.000, 0.000, 0.000), Ca at (0.250, 0.250, 0.750) and Tl at (0.125, 0.125, 0.375).

***

The following is a PBEsol calculation of BaCaTl after structural relaxation, from Alexandria.

Its electronic total energy is -7.9 eV/f.u. The total magnetization is 0.0 μB per cell. The value obtained for the formation energy is -0.33 eV/atom.

It has space group I4mm (No. 107), with a = 4.019 Å, b = 4.019 Å, c = 13.943 Å, α = 90.00°, β = 90.00° and γ = 90.00°. The asymmetric unit holds Ba at (0.000, 0.000, 0.000), Ca at (0.000, 0.000, 0.273) and Tl at (0.000, 0.000, 0.659).

***

The following is a PBEsol calculation of BaCaW2 after structural relaxation, from Alexandria.

Its electronic total energy is -26.4 eV/f.u. The total magnetization is 0.0 μB per cell. The value obtained for the formation energy is 1.37 eV/atom. The relative energy among the computed polymorphs comes out at 0.0000 eV/atom.

It has space group Cmmm (No. 65), with a = 3.991 Å, b = 4.084 Å, c = 10.887 Å, α = 90.00°, β = 90.00° and γ = 90.00°. The asymmetric unit holds Ba at (0.000, 0.000, 0.000), Ca at (0.000, 0.000, 0.500) and W at (0.000, 0.500, 0.266).

***

The following is a PBEsol calculation of BaCaW2 after structural relaxation, from Alexandria.

Its electronic total energy is -26.4 eV/f.u. The total magnetization is 0.0 μB per cell. The value obtained for the formation energy is 1.39 eV/atom. The relative energy among the computed polymorphs comes out at 0.0196 eV/atom.

It has space group Pmmm (No. 47), with a = 3.588 Å, b = 4.394 Å, c = 5.460 Å, α = 90.00°, β = 90.00° and γ = 90.00°. The asymmetric unit holds Ba at (0.000, 0.000, 0.000), Ca at (0.500, 0.500, 0.000), W at (0.000, 0.500, 0.500) and W at (0.500, 0.000, 0.500).